Here is Tb3Zn8Ag3 after structural relaxation from the Alexandria database. Energies are from PBE-GGA.

Calculated values
Space-group type   Immm (71)
E   -2.6315 eV/atom
Energy of formation   -0.300 eV per atom
Fermi-level density of states   7.94 states/eV per cell

Unit cell a=8.3238 b=8.3238 c=8.3238 alpha=149.26 beta=114.92 gamma=73.69
Fractional coordinates of all 14 atoms:
Tb (0.0000, 0.0000, 0.0000)
Tb (0.3005, 0.3005, 0.0000)
Tb (0.6995, 0.6995, 0.0000)
Zn (0.0315, 0.6697, 0.3618)
Zn (0.1395, 0.8622, 0.2773)
Zn (0.3080, 0.6697, 0.6382)
Zn (0.4152, 0.1378, 0.2773)
Zn (0.5848, 0.8622, 0.7227)
Zn (0.6920, 0.3303, 0.3618)
Zn (0.8605, 0.1378, 0.7227)
Zn (0.9685, 0.3303, 0.6382)
Ag (0.2914, 0.5000, 0.7914)
Ag (0.5000, 0.0000, 0.5000)
Ag (0.7086, 0.5000, 0.2086)